K2ReNi: relaxed, GGA-PBE.

## Properties
Its space group is I-42d (122). Its crystal system is tetragonal. As for the formation energy from the elements: 1.34 eV per atom. The energy is -3.77 eV per atom. Its energy relative to the lowest polymorph listed for this composition is 571 meV/atom.

a = 9.0186 Å, b = 9.0186 Å, c = 9.0186 Å
α = 93.58°, β = 93.58°, γ = 151.08°
Last column: nearest neighbours and their distance in Å.
Positions (direct):
K 0.3750 0.0615 0.1865  2 Ni 3.24, 2 Re 3.61
K 0.8115 0.6250 0.6865  2 Ni 3.24, 2 Re 3.61
K 0.8750 0.1885 0.8135  2 Ni 3.24, 2 Re 3.61
K 0.9385 0.1250 0.3135  2 Ni 3.24, 2 Re 3.61
Re 0.2500 0.7500 0.5000  2 Ni 2.25
Re 0.5000 0.5000 0.0000  2 Ni 2.25
Ni 0.0000 0.0000 0.0000  2 Re 2.25
Ni 0.7500 0.2500 0.5000  2 Re 2.25